Entry 1:
Here is a geometry-optimized LiZr2Fe structure from Alexandria via LeMat-Bulk. Energies are from PBE.

Calculated values
**Energy relative to the elements**: 0.22 eV/atom

Cell lengths 3.2822, 3.2822, 26.0837 Å; angles 90.00, 90.00, 120.00 degrees
Closest atoms and distances in Å follow each position.
Space group R-3m (No. 166, hexagonal axes)
Symmetry-distinct sites (fractional):
Li1 0.0000 0.0000 0.0000  6 Zr 3.24, 6 Li 3.28
Zr1 0.0000 0.0000 0.2326  3 Fe 2.56
Fe1 0.0000 0.0000 0.5000  6 Zr 2.56

Entry 2:
Here is a geometry-optimized LiZrFe structure from Alexandria via LeMat-Bulk. Energies are from PBE.

Calculated values
**Energy relative to the elements**: 0.28 eV/atom
**Distance to the lowest polymorph of the same formula**: 22 kJ/mol of formula units

Cell lengths 4.4097, 4.4097, 2.8161 Å; angles 90.00, 90.00, 120.00 degrees
Closest atoms and distances in Å follow each position.
Space group P3m1 (No. 156)
Symmetry-distinct sites (fractional):
Li1 0.0000 0.0000 0.0000  3 Fe 2.55, 2 Li 2.82
Zr1 0.6667 0.3333 0.5014  2 Zr 2.82, 6 Li 2.91, 6 Fe 2.91
Fe1 0.3333 0.6667 0.0018  3 Li 2.55, 2 Fe 2.82

Entry 3:
Here is a geometry-optimized LiZr2Fe structure from Alexandria via LeMat-Bulk. Energies are from PBE.

Calculated values
**Energy relative to the elements**: 0.35 eV/atom

Cell lengths 6.5327, 6.5327, 6.5327 Å; angles 90.00, 90.00, 90.00 degrees
Closest atoms and distances in Å follow each position.
Space group F-43m (No. 216)
Symmetry-distinct sites (fractional):
Li1 0.0000 0.0000 0.0000  4 Fe 2.83, 4 Zr 2.83
Zr1 0.0000 0.0000 0.5000  4 Zr 2.83, 4 Fe 2.83
Zr2 0.2500 0.2500 0.2500  4 Li 2.83, 4 Zr 2.83
Fe1 0.2500 0.2500 0.7500  4 Zr 2.83, 4 Li 2.83

Entry 4:
Here is a geometry-optimized LiZr2Fe structure from Alexandria via LeMat-Bulk. Energies are from PBE.

Calculated values
**Energy relative to the elements**: 0.38 eV/atom

Cell lengths 7.1158, 7.1158, 5.7501 Å; angles 90.00, 90.00, 90.00 degrees
Closest atoms and distances in Å follow each position.
Space group I-42d (No. 122)
Symmetry-distinct sites (fractional):
Li1 0.0000 0.0000 0.0000  4 Zr 2.76, 2 Fe 2.88
Zr1 0.2205 0.7500 0.6250  2 Fe 2.48, 2 Li 2.76
Fe1 0.0000 0.0000 0.5000  4 Zr 2.48

Entry 5:
Here is a geometry-optimized LiZr2Fe structure from Alexandria via LeMat-Bulk. Energies are from PBE.

Calculated values
**Energy relative to the elements**: 0.24 eV/atom

Cell lengths 3.8681, 3.8681, 9.2529 Å; angles 90.00, 90.00, 90.00 degrees
Closest atoms and distances in Å follow each position.
Space group I-4m2 (No. 119)
Symmetry-distinct sites (fractional):
Li1 0.0000 0.0000 0.0000  8 Zr 2.74-3.02, 4 Fe 3.02
Zr1 0.0000 0.0000 0.5000  4 Li 2.74, 4 Zr 3.02, 4 Fe 3.02
Zr2 0.0000 0.5000 0.7500  4 Fe 2.74, 4 Zr 3.02, 4 Li 3.02
Fe1 0.0000 0.5000 0.2500  8 Zr 2.74-3.02, 4 Li 3.02

Entry 6:
Here is a geometry-optimized LiZr2Fe structure from Alexandria via LeMat-Bulk. Energies are from PBE.

Calculated values
**Energy relative to the elements**: 0.03 eV/atom

Cell lengths 4.5465, 4.5465, 3.2443 Å; angles 90.00, 90.00, 90.00 degrees
Closest atoms and distances in Å follow each position.
Space group P4/mmm (No. 123)
Symmetry-distinct sites (fractional):
Li1 0.0000 0.0000 0.0000  8 Zr 2.79
Zr1 0.0000 0.5000 0.5000  4 Fe 2.79, 4 Li 2.79
Fe1 0.5000 0.5000 0.0000  8 Zr 2.79

Entry 7:
Here is a geometry-optimized LiZr2Fe structure from Alexandria via LeMat-Bulk. Energies are from PBE.

Calculated values
**Energy relative to the elements**: 0.07 eV/atom

Cell lengths 3.1432, 3.1432, 7.5685 Å; angles 90.00, 90.00, 90.00 degrees
Closest atoms and distances in Å follow each position.
Space group P4/mmm (No. 123)
Symmetry-distinct sites (fractional):
Li1 0.0000 0.0000 0.0000  8 Zr 3.14, 4 Li 3.14
Zr1 0.5000 0.5000 0.2930  4 Fe 2.72
Fe1 0.0000 0.0000 0.5000  8 Zr 2.72

Entry 8:
Here is a geometry-optimized Li3ZrFe structure from Alexandria via LeMat-Bulk. Energies are from PBE.

Calculated values
**Energy relative to the elements**: 0.93 eV/atom

Cell lengths 4.3269, 4.3269, 4.3269 Å; angles 90.00, 90.00, 90.00 degrees
Closest atoms and distances in Å follow each position.
Space group Pm-3m (No. 221)
Symmetry-distinct sites (fractional):
Li1 0.0000 0.0000 0.5000  2 Fe 2.16
Zr1 0.5000 0.5000 0.5000  12 Li 3.06
Fe1 0.0000 0.0000 0.0000  6 Li 2.16

Entry 9:
Here is a geometry-optimized Lu3Fe structure from Alexandria via LeMat-Bulk. Energies are from PBE.

Calculated values
**Energy relative to the elements**: 0.29 eV/atom

Cell lengths 3.2580, 3.5574, 8.6783 Å; angles 90.00, 90.00, 90.00 degrees
Closest atoms and distances in Å follow each position.
Space group Pmm2 (No. 25)
Symmetry-distinct sites (fractional):
Lu1 0.0000 0.0000 0.0000  10 Lu 3.26-3.56
Lu2 0.0000 0.5000 0.3428  4 Fe 2.73
Lu3 0.5000 0.5000 0.7136  2 Fe 2.63
Fe1 0.5000 0.0000 0.4898  6 Lu 2.63-2.73

Entry 10:
Here is a geometry-optimized Lu6Fe23 structure from Alexandria via LeMat-Bulk. Energies are from PBE.

Calculated values
**Energy relative to the elements**: -0.11 eV/atom

Cell lengths 11.8643, 11.8643, 11.8643 Å; angles 90.00, 90.00, 90.00 degrees
Closest atoms and distances in Å follow each position.
Space group Fm-3m (No. 225)
Symmetry-distinct sites (fractional):
Lu1 0.0000 0.0000 0.2088  12 Fe 2.86-3.01
Fe1 0.0000 0.0000 0.5000  8 Fe 2.49
Fe2 0.0000 0.2500 0.2500  8 Fe 2.43-2.60
Fe3 0.1212 0.1212 0.3788  7 Fe 2.49-2.60
Fe4 0.1744 0.1744 0.1744  9 Fe 2.43-2.58

Entry 11:
Here is a geometry-optimized LuFe2 structure from Alexandria via LeMat-Bulk. Energies are from PBE.

Calculated values
**Energy relative to the elements**: -0.15 eV/atom

Cell lengths 5.0742, 5.0742, 8.2181 Å; angles 90.00, 90.00, 120.00 degrees
Closest atoms and distances in Å follow each position.
Space group P6_3/mmc (No. 194)
Symmetry-distinct sites (fractional):
Lu1 0.3333 0.6667 0.0623  12 Fe 2.95-2.97, 4 Lu 3.09-3.10
Fe1 0.0000 0.0000 0.0000  6 Fe 2.52
Fe2 0.1670 0.3339 0.7500  6 Fe 2.52-2.54

Entry 12:
Here is a geometry-optimized LuFe2 structure from Alexandria via LeMat-Bulk. Energies are from PBE.

Calculated values
**Energy relative to the elements**: -0.17 eV/atom

Cell lengths 7.1384, 7.1384, 7.1384 Å; angles 90.00, 90.00, 90.00 degrees
Closest atoms and distances in Å follow each position.
Space group Fd-3m (No. 227, origin choice 2)
Symmetry-distinct sites (fractional):
Lu1 0.1250 0.1250 0.1250  12 Fe 2.96, 4 Lu 3.09
Fe1 0.0000 0.0000 0.5000  6 Fe 2.52

Entry 13:
Here is a geometry-optimized LuFe2 structure from Alexandria via LeMat-Bulk. Energies are from PBE.

Calculated values
**Energy relative to the elements**: 0.07 eV/atom

Cell lengths 3.1876, 3.1876, 9.6905 Å; angles 90.00, 90.00, 90.00 degrees
Closest atoms and distances in Å follow each position.
Space group I4/mmm (No. 139)
Symmetry-distinct sites (fractional):
Lu1 0.0000 0.0000 0.0000  10 Fe 2.94-2.95, 4 Lu 3.19
Fe1 0.0000 0.0000 0.3038  4 Fe 2.48

Entry 14:
Here is a geometry-optimized Lu3Fe structure from Alexandria via LeMat-Bulk. Energies are from PBE.

Calculated values
**Energy relative to the elements**: 0.03 eV/atom

Cell lengths 3.4178, 10.4517, 5.1711 Å; angles 90.00, 90.00, 90.00 degrees
Closest atoms and distances in Å follow each position.
Space group Imm2 (No. 44)
Symmetry-distinct sites (fractional):
Lu1 0.0000 0.0000 0.0000  4 Fe 3.07-3.13, 6 Lu 3.28-3.42
Lu2 0.0000 0.1941 0.4996  2 Fe 2.65
Fe1 0.0000 0.5000 0.9932  4 Lu 2.65

Looking at final energy for the records above, in order, we have -0.244; -0.221; -0.240; -0.239; -0.243; -0.251; -0.250; -0.133; -0.192; -0.285; -0.268; -0.269; -0.260; -0.201 Ha/atom.
Looking at DOS(E_F) for the records above, in order, we have 4.55; 3.75; 4.12; 4.02; 4.82; 2.67; 3.27; 5.82; 5.66; 33.79; 3.14; 3.40; 2.88; 3.99 states/eV/f.u..